No. 1
Computed, not measured: a geometry-optimized La2Pd structure at the PBE level of DFT.

The structure in POSCAR format:
```
La2Pd
1.0
0.000 2.654 6.305
2.649 0.000 6.305
2.649 2.654 0.000
La Pd
2 1
direct
0.137 0.137 0.863
0.863 0.863 0.137
0.500 0.500 0.500
```

Summary:
Its space group is Fmmm, No. 69. The calculation puts the energy of formation from the pure elements at -0.4662 eV per atom. The crystal system is orthorhombic. Its size of the total moment is 0.77 μB/f.u.


No. 2
Computed, not measured: a geometry-optimized YU5S6 structure at the PBE level of DFT.

The structure in POSCAR format:
```
YU5S6
1.0
3.363 -5.830 0.000
3.363 5.830 0.000
-2.250 0.000 6.282
Y U S
1 5 6
direct
0.000 0.000 0.000
0.167 0.833 0.500
0.334 0.666 0.000
0.500 0.500 0.500
0.666 0.334 0.000
0.833 0.167 0.500
0.083 0.416 0.249
0.250 0.250 0.750
0.416 0.083 0.249
0.584 0.917 0.751
0.750 0.750 0.250
0.917 0.584 0.751
```

Summary:
Its space group is C2/m, No. 12. The crystal system is monoclinic. For the formation energy without anion corrections, the calculation gives -1.4696 eV per atom. Its size of the total moment is 11.62 μB/f.u.


No. 3
Computed, not measured: a geometry-optimized Tl10Hg4As structure at the PBE level of DFT.

The structure in POSCAR format:
```
Tl10Hg4As
1.0
-5.810 5.810 3.681
5.810 -5.810 3.681
5.810 5.810 -3.681
Tl Hg As
10 4 1
direct
0.048 0.151 0.714
0.151 0.437 0.103
0.250 0.750 0.500
0.334 0.048 0.897
0.437 0.334 0.286
0.563 0.666 0.714
0.666 0.952 0.103
0.750 0.250 0.500
0.849 0.563 0.897
0.952 0.849 0.286
0.205 0.607 0.812
0.393 0.205 0.598
0.607 0.795 0.402
0.795 0.393 0.188
0.000 0.000 0.000
```

Summary:
Its space group is I4/m, No. 87. The calculation puts the energy of formation from the pure elements at 0.0348 eV per atom. The crystal system is tetragonal. Its size of the total moment is 0.00 μB/f.u.


No. 4
Computed, not measured: a geometry-optimized YZrCl2 structure at the PBE level of DFT.

The structure in POSCAR format:
```
YZrCl2
1.0
3.432 -3.436 0.000
3.432 3.436 0.000
0.000 0.000 3.373
Y Zr Cl
1 1 2
direct
0.000 0.000 0.000
0.500 0.500 0.000
0.000 0.500 0.500
0.500 0.000 0.500
```

Summary:
Its space group is Cmmm, No. 65. The crystal system is orthorhombic. For the formation energy without anion corrections, the calculation gives -0.5736 eV per atom. Its energy above the lowest structure with this stoichiometry is 756 meV/atom. Its size of the total moment is 0.00 μB/f.u.


No. 5
Computed, not measured: a geometry-optimized LiCu2IF structure at the PBE level of DFT.

The structure in POSCAR format:
```
LiCu2IF
1.0
4.795 0.000 0.000
0.000 4.795 0.000
0.000 0.000 3.620
Li Cu I F
1 2 1 1
direct
0.000 0.000 0.000
0.000 0.500 0.000
0.500 0.000 0.000
0.500 0.500 0.500
0.000 0.000 0.500
```

Summary:
Its space group is P4/mmm, No. 123. The crystal system is tetragonal. For the formation energy without anion corrections, the calculation gives -0.2809 eV per atom. Its size of the total moment is 0.00 μB/f.u.


No. 6
Computed, not measured: a geometry-optimized LaEr3Tc structure at the PBE level of DFT.

The structure in POSCAR format:
```
LaEr3Tc
1.0
5.392 0.000 0.000
0.000 5.392 0.000
0.000 0.000 5.392
La Er Tc
1 3 1
direct
0.000 0.000 0.000
0.000 0.500 0.500
0.500 0.000 0.500
0.500 0.500 0.000
0.500 0.500 0.500
```

Summary:
Its space group is Pm-3m, No. 221. The calculation puts the energy of formation from the pure elements at 0.0781 eV per atom. The crystal system is cubic. Its energy above the lowest structure with this stoichiometry is 154 meV/atom. Its size of the total moment is 0.00 μB/f.u.


| no. | raw total energy (eV per atom) |
| --- | --- |
| 1 | -5.48 |
| 2 | -8.78 |
| 3 | -1.93 |
| 4 | -5.25 |
| 5 | -2.99 |
| 6 | -5.72 |